Here is an optimized crystal structure of MgSc2Ru from Alexandria via LeMat-Bulk. Energies are from GGA-PBEsol.

Results
VASP energy, hartree per atom: -0.21973
E_form, eV per atom: 0.296

Cell: 3.0602 3.0602 29.7922 Å, 90.00 90.00 120.00°
Closest atoms and distances in Å follow each position.
Space group R-3m (No. 166, hexagonal axes)
Symmetry-distinct sites (fractional):
Mg: 0.0000 0.0000 0.0000 x3  6 Mg 3.06, 6 Sc 3.19
Sc: 0.0000 0.0000 0.4224 x6  1 Ru 2.31
Ru: 0.0000 0.0000 0.5000 x3  2 Sc 2.31